Run w
4
Lattice="-1.348 -0.156 -2.615 2.617 0.059 -1.352 0.315 -7.496 0.286" Properties=species:S:1:pos:R:3 comment="CdIr2Br, PBEsol geometry, DFT SCAN" space_group=P4/mmm density_g_cm3=14.7 n_ef_per_ev_cell=1.93 pbc="T T T"
Cd 0.792 -3.797 -1.841
Ir 0.074 -1.765 0.067
Ir 0.241 -5.731 0.219
Br 0.634 -0.049 -1.983

---

Run x
4
Lattice="2.902 0.000 0.000 0.000 4.776 0.000 -1.451 -2.388 4.926" Properties=species:S:1:pos:R:3 comment="CdIr2Br, PBEsol geometry, DFT SCAN" space_group=Imm2 density_g_cm3=14.0 n_ef_per_ev_cell=3.42 pbc="T T T"
Cd 0.000 2.388 2.545
Ir 1.451 0.000 2.443
Ir 0.000 0.000 0.241
Br 0.000 0.000 4.623

---

Quick one: most stable of them? run x

---

Run w
4
Lattice="4.403 0.000 0.000 2.202 3.813 0.000 2.202 1.271 9.192" Properties=species:S:1:pos:R:3 comment="KCdBr2, PBEsol geometry, DFT SCAN" space_group=R-3m density_g_cm3=3.3 n_ef_per_ev_cell=1.34 pbc="T T T"
K 4.403 2.542 4.596
Br 6.605 3.813 2.671
Br 2.202 1.271 6.521
Cd 0.000 0.000 0.000

---

Run x
4
Lattice="-1.072 -3.622 -3.949 3.633 -0.843 -3.993 2.775 -4.702 -0.221" Properties=species:S:1:pos:R:3 comment="KCdBr2, PBEsol geometry, DFT SCAN" space_group=F-43m density_g_cm3=4.5 n_ef_per_ev_cell=2.11 pbc="T T T"
Br 0.000 0.000 0.000
Br 4.002 -6.875 -6.122
K 1.334 -2.292 -2.041
Cd 2.668 -4.583 -4.082

---

Quick one: most stable of them? run w